No. 1
Entry from Alexandria: a relaxed Hg2HF4 crystal (PBE).

Cell: 5.385 4.757 8.092 Å, 90.00 106.48 90.00°
Space group P2_1/m (No. 11)
Inequivalent atoms, fractional coordinates:
Hg 0.167 0.250 0.007
Hg 0.242 0.750 0.616
H 0.370 0.750 0.303
F 0.097 0.250 0.614
F 0.348 0.750 0.911
F 0.361 0.512 0.309

final energy: -2.972 eV per atom

=====

No. 2
Entry from Alexandria: a relaxed BeAl3Pd4 crystal (PBE).

Cell: 2.971 2.971 12.499 Å, 90.00 90.00 90.00°
Space group P4/mmm (No. 123)
Inequivalent atoms, fractional coordinates:
Be 0.000 0.000 0.000
Al 0.000 0.000 0.239
Al 0.000 0.000 0.500
Pd 0.500 0.500 0.112
Pd 0.500 0.500 0.368

formation energy from the elements: -0.773 eV per atom

=====

No. 3
Entry from Alexandria: a relaxed TlZn2Re crystal (PBE).

Cell: 5.689 8.186 2.900 Å, 90.00 90.38 90.00°
Space group C2/m (No. 12)
Inequivalent atoms, fractional coordinates:
Tl 0.000 0.000 0.000
Zn 0.250 0.250 0.500
Re 0.000 0.500 0.000

formation energy from the elements: 0.560 eV per atom

=====

No. 4
Entry from Alexandria: a relaxed TcMo crystal (PBE).

Cell: 3.119 4.445 4.407 Å, 90.00 90.00 90.00°
Space group Cmmm (No. 65)
Inequivalent atoms, fractional coordinates:
Tc 0.000 0.000 0.000
Mo 0.000 0.500 0.500

formation energy from the elements: 0.110 eV per atom